1.
A plane-wave DFT calculation with PBE-GGA was carried out for crystalline Ca4ZnCdGa2 at its relaxed geometry.

## Properties
As for the formation energy: -0.38 eV/atom. As for the density of states at the Fermi level: 12.6 states/eV per cell.

abc: 5.2537 5.2537 25.7018
angles: 90.00 90.00 120.00
Space group R-3m (No. 166, hexagonal axes)
Asymmetric unit:
Ca  0.0000  0.0000  0.1226
Ca  0.0000  0.0000  0.3728
Zn  0.0000  0.0000  0.0000
Cd  0.0000  0.0000  0.5000
Ga  0.0000  0.0000  0.2491

2.
A plane-wave DFT calculation with PBE-GGA was carried out for crystalline CaGdCd2 at its relaxed geometry.

## Properties
As for the formation energy: -0.35 eV/atom. As for the density of states at the Fermi level: 16.2 states/eV per cell.

abc: 7.5980 7.5980 7.5980
angles: 90.00 90.00 90.00
Space group Fm-3m (No. 225)
Asymmetric unit:
Ca  0.0000  0.0000  0.0000
Gd  0.0000  0.0000  0.5000
Cd  0.2500  0.2500  0.2500

3.
A plane-wave DFT calculation with PBE-GGA was carried out for crystalline CaGdCd4 at its relaxed geometry.

## Properties
As for the formation energy: -0.28 eV/atom. As for the density of states at the Fermi level: 21.6 states/eV per cell.

abc: 8.4490 8.4490 8.4490
angles: 90.00 90.00 90.00
Space group F-43m (No. 216)
Asymmetric unit:
Ca  0.0000  0.0000  0.0000
Gd  0.2500  0.2500  0.2500
Cd  0.1246  0.1246  0.6246

4.
A plane-wave DFT calculation with PBE-GGA was carried out for crystalline CaGd2Cd at its relaxed geometry.

## Properties
As for the formation energy: 0.09 eV/atom. Its relative energy among the computed polymorphs is 192 meV/atom. As for the density of states at the Fermi level: 16.1 states/eV per cell.

abc: 3.5819 3.5819 35.6999
angles: 90.00 90.00 120.00
Space group R-3m (No. 166, hexagonal axes)
Asymmetric unit:
Ca  0.0000  0.0000  0.0000
Gd  0.0000  0.0000  0.0963
Cd  0.0000  0.0000  0.5000

5.
A plane-wave DFT calculation with PBE-GGA was carried out for crystalline CaGd2Cd at its relaxed geometry.

## Properties
As for the formation energy: -0.03 eV/atom. Its relative energy among the computed polymorphs is 73 meV/atom. As for the density of states at the Fermi level: 21.8 states/eV per cell.

abc: 7.8381 7.8381 7.8381
angles: 90.00 90.00 90.00
Space group Fm-3m (No. 225)
Asymmetric unit:
Ca  0.0000  0.0000  0.0000
Gd  0.2500  0.2500  0.2500
Cd  0.0000  0.0000  0.5000

6.
A plane-wave DFT calculation with PBE-GGA was carried out for crystalline CaGdCd2 at its relaxed geometry.

## Properties
As for the formation energy: -0.36 eV/atom. As for the density of states at the Fermi level: 3.8 states/eV per cell.

abc: 5.4156 5.4156 3.7455
angles: 90.00 90.00 90.00
Space group P4/mmm (No. 123)
Asymmetric unit:
Ca  0.0000  0.0000  0.0000
Gd  0.5000  0.5000  0.0000
Cd  0.0000  0.5000  0.5000

7.
A plane-wave DFT calculation with PBE-GGA was carried out for crystalline CaGd2Cd at its relaxed geometry.

## Properties
As for the formation energy: -0.10 eV/atom. Its relative energy among the computed polymorphs is 0 meV/atom. As for the density of states at the Fermi level: 6.3 states/eV per cell.

abc: 3.7650 3.7650 9.1298
angles: 90.00 90.00 90.00
Space group P4/mmm (No. 123)
Asymmetric unit:
Ca  0.0000  0.0000  0.0000
Gd  0.5000  0.5000  0.2985
Cd  0.0000  0.0000  0.5000

8.
A plane-wave DFT calculation with PBE-GGA was carried out for crystalline CaGdCdHg at its relaxed geometry.

## Properties
As for the formation energy: -0.44 eV/atom. As for the density of states at the Fermi level: 14.1 states/eV per cell.

abc: 7.5614 7.5614 7.5614
angles: 90.00 90.00 90.00
Space group F-43m (No. 216)
Asymmetric unit:
Ca  0.0000  0.0000  0.0000
Gd  0.0000  0.0000  0.5000
Cd  0.2500  0.2500  0.2500
Hg  0.2500  0.2500  0.7500

9.
A plane-wave DFT calculation with PBE-GGA was carried out for crystalline CaLaGdCd at its relaxed geometry.

## Properties
As for the formation energy: -0.05 eV/atom. As for the density of states at the Fermi level: 19.2 states/eV per cell.

abc: 7.9837 7.9837 7.9837
angles: 90.00 90.00 90.00
Space group F-43m (No. 216)
Asymmetric unit:
Ca  0.0000  0.0000  0.0000
La  0.2500  0.2500  0.7500
Gd  0.2500  0.2500  0.2500
Cd  0.0000  0.0000  0.5000

10.
A plane-wave DFT calculation with PBE-GGA was carried out for crystalline LiCaGdCd at its relaxed geometry.

## Properties
As for the formation energy: -0.15 eV/atom. As for the density of states at the Fermi level: 19.9 states/eV per cell.

abc: 7.5989 7.5989 7.5989
angles: 90.00 90.00 90.00
Space group F-43m (No. 216)
Asymmetric unit:
Li  0.0000  0.0000  0.0000
Ca  0.2500  0.2500  0.7500
Gd  0.2500  0.2500  0.2500
Cd  0.0000  0.0000  0.5000

11.
A plane-wave DFT calculation with PBE-GGA was carried out for crystalline NaCaGdCd at its relaxed geometry.

## Properties
As for the formation energy: -0.04 eV/atom. As for the density of states at the Fermi level: 21.5 states/eV per cell.

abc: 7.8166 7.8166 7.8166
angles: 90.00 90.00 90.00
Space group F-43m (No. 216)
Asymmetric unit:
Na  0.0000  0.0000  0.0000
Ca  0.2500  0.2500  0.7500
Gd  0.2500  0.2500  0.2500
Cd  0.0000  0.0000  0.5000

12.
A plane-wave DFT calculation with PBE-GGA was carried out for crystalline CaNdGdCd at its relaxed geometry.

## Properties
As for the formation energy: -0.04 eV/atom. As for the density of states at the Fermi level: 19.9 states/eV per cell.

abc: 7.9066 7.9066 7.9066
angles: 90.00 90.00 90.00
Space group F-43m (No. 216)
Asymmetric unit:
Ca  0.0000  0.0000  0.0000
Nd  0.2500  0.2500  0.7500
Gd  0.2500  0.2500  0.2500
Cd  0.0000  0.0000  0.5000

13.
A plane-wave DFT calculation with PBE-GGA was carried out for crystalline CaGdCdNi at its relaxed geometry.

## Properties
As for the formation energy: -0.17 eV/atom. As for the density of states at the Fermi level: 14.1 states/eV per cell.

abc: 7.2358 7.2358 7.2358
angles: 90.00 90.00 90.00
Space group F-43m (No. 216)
Asymmetric unit:
Ca  0.0000  0.0000  0.0000
Gd  0.0000  0.0000  0.5000
Cd  0.2500  0.2500  0.2500
Ni  0.2500  0.2500  0.7500

14.
A plane-wave DFT calculation with PBE-GGA was carried out for crystalline CaGdCdPb at its relaxed geometry.

## Properties
As for the formation energy: -0.44 eV/atom. As for the density of states at the Fermi level: 20.8 states/eV per cell.

abc: 7.7007 7.7007 7.7007
angles: 90.00 90.00 90.00
Space group F-43m (No. 216)
Asymmetric unit:
Ca  0.0000  0.0000  0.0000
Gd  0.0000  0.0000  0.5000
Cd  0.2500  0.2500  0.2500
Pb  0.2500  0.2500  0.7500

15.
A plane-wave DFT calculation with PBE-GGA was carried out for crystalline CaPmGdCd at its relaxed geometry.

## Properties
As for the formation energy: -0.04 eV/atom. As for the density of states at the Fermi level: 19.8 states/eV per cell.

abc: 7.8832 7.8832 7.8832
angles: 90.00 90.00 90.00
Space group F-43m (No. 216)
Asymmetric unit:
Ca  0.0000  0.0000  0.0000
Pm  0.2500  0.2500  0.2500
Gd  0.2500  0.2500  0.7500
Cd  0.0000  0.0000  0.5000

16.
A plane-wave DFT calculation with PBE-GGA was carried out for crystalline CaPrGdCd at its relaxed geometry.

## Properties
As for the formation energy: -0.04 eV/atom. As for the density of states at the Fermi level: 18.2 states/eV per cell.

abc: 7.9345 7.9345 7.9345
angles: 90.00 90.00 90.00
Space group F-43m (No. 216)
Asymmetric unit:
Ca  0.0000  0.0000  0.0000
Pr  0.2500  0.2500  0.7500
Gd  0.2500  0.2500  0.2500
Cd  0.0000  0.0000  0.5000

17.
A plane-wave DFT calculation with PBE-GGA was carried out for crystalline CaGdCdRh at its relaxed geometry.

## Properties
As for the formation energy: -0.40 eV/atom. As for the density of states at the Fermi level: 12.5 states/eV per cell.

abc: 7.2165 7.2165 7.2165
angles: 90.00 90.00 90.00
Space group F-43m (No. 216)
Asymmetric unit:
Ca  0.0000  0.0000  0.0000
Gd  0.0000  0.0000  0.5000
Cd  0.2500  0.2500  0.7500
Rh  0.2500  0.2500  0.2500

18.
A plane-wave DFT calculation with PBE-GGA was carried out for crystalline CaGdCdSb at its relaxed geometry.

## Properties
The raw formation energy comes out at -0.564 eV/atom. As for the density of states at the Fermi level: 20.8 states/eV per cell.

abc: 7.6296 7.6296 7.6296
angles: 90.00 90.00 90.00
Space group F-43m (No. 216)
Asymmetric unit:
Ca  0.0000  0.0000  0.0000
Gd  0.0000  0.0000  0.5000
Cd  0.2500  0.2500  0.2500
Sb  0.2500  0.2500  0.7500

19.
A plane-wave DFT calculation with PBE-GGA was carried out for crystalline CaGdScCd at its relaxed geometry.

## Properties
As for the formation energy: 0.01 eV/atom. As for the density of states at the Fermi level: 14.2 states/eV per cell.

abc: 7.6928 7.6928 7.6928
angles: 90.00 90.00 90.00
Space group F-43m (No. 216)
Asymmetric unit:
Ca  0.0000  0.0000  0.0000
Gd  0.0000  0.0000  0.5000
Sc  0.2500  0.2500  0.2500
Cd  0.2500  0.2500  0.7500

20.
A plane-wave DFT calculation with PBE-GGA was carried out for crystalline CaGdCdSi at its relaxed geometry.

## Properties
The raw formation energy comes out at -0.360 eV/atom. As for the density of states at the Fermi level: 13.7 states/eV per cell.

abc: 7.3278 7.3278 7.3278
angles: 90.00 90.00 90.00
Space group F-43m (No. 216)
Asymmetric unit:
Ca  0.0000  0.0000  0.0000
Gd  0.0000  0.0000  0.5000
Cd  0.2500  0.2500  0.2500
Si  0.2500  0.2500  0.7500